(1)
Entry from the Alexandria database: an optimized crystal structure of La3Pr5Nd3 (PBE-GGA).

Summary:
total DFT energy (no corrections): -4.540 eV/atom
DOS at the Fermi energy: 1.773 states/eV per atom
magnetization: 0.0 μB per formula unit
excess energy over the best structure of this formula in the dataset: 0 meV/atom
energy of formation from the pure elements: 277 meV per atom

Structure (POSCAR):
```
La3Pr5Nd3
1.0
3.5214 0.0000 0.0000
0.0000 10.0290 -5.7902
0.0000 0.0000 11.5805
La Pr Nd
3 5 3
Direct
0.0000 0.6020 0.0000
0.0000 0.0000 0.6020
0.0000 0.3980 0.3980
0.5000 0.6667 0.3333
0.5000 0.3333 0.6667
0.5000 0.3390 0.0000
0.5000 0.6610 0.6610
0.5000 0.0000 0.3390
0.5000 0.8395 0.0000
0.5000 0.1605 0.1605
0.5000 0.0000 0.8395
```

***

(2)
Entry from the Alexandria database: an optimized crystal structure of La5Pr2Nd2 (PBE-GGA).

Summary:
total DFT energy (no corrections): -4.847 eV/atom
DOS at the Fermi energy: 1.912 states/eV per atom
magnetization: 0.0 μB per formula unit
excess energy over the best structure of this formula in the dataset: 0 meV/atom
energy of formation from the pure elements: 12 meV per atom

Structure (POSCAR):
```
La5Pr2Nd2
1.0
-2.8301 4.1836 -1.6609
-0.7574 -3.2028 1.7445
5.5416 11.6421 19.8854
La Pr Nd
5 2 2
Direct
0.5557 0.1113 0.1114
0.4443 0.8887 0.8886
0.7781 0.5562 0.5557
0.2219 0.4438 0.4443
0.0000 0.0000 0.0000
0.3345 0.6689 0.6680
0.6655 0.3311 0.3320
0.8890 0.7781 0.7776
0.1110 0.2219 0.2224
```

***

Q: The highest total DFT energy (no corrections) belongs to which entry?
A: La3Pr5Nd3